{
  "formula": "Na3MoF6",
  "functional": "GGA+U",
  "state": "optimized geometry",
  "lattice": [[5.7110, 0.0000, 0.0000], [0.0000, 5.9158, 0.0000], [-5.5290, 0.0000, 8.3191]],
  "species": ["Na", "Na", "Na", "Na", "Na", "Na", "Mo", "Mo", "F", "F", "F", "F", "F", "F", "F", "F", "F", "F", "F", "F"],
  "fractional_positions": [[0.0000, 0.0000, 0.0000], [0.0000, 0.5000, 0.5000], [0.2221, 0.0548, 0.7385], [0.2221, 0.4452, 0.2385], [0.7779, 0.5548, 0.7615], [0.7779, 0.9452, 0.2615], [0.5000, 0.0000, 0.5000], [0.5000, 0.5000, 0.0000], [0.1402, 0.1801, 0.4437], [0.1402, 0.3199, 0.9437], [0.2423, 0.7103, 0.4172], [0.2423, 0.7897, 0.9172], [0.3974, 0.0743, 0.2669], [0.3974, 0.4257, 0.7669], [0.6026, 0.5743, 0.2331], [0.6026, 0.9257, 0.7331], [0.7577, 0.2103, 0.0828], [0.7577, 0.2897, 0.5828], [0.8598, 0.6801, 0.0563], [0.8598, 0.8199, 0.5563]],
  "energy_ev_per_atom": -4.96,
  "total_magnetization_mub_per_cell": 6.00
}